# 1
Material: TeBr2N
Method: DFT, meta-GGA SCAN
State: PBEsol geometry

Calculated values
The value obtained for the formation energy from raw total energies is 130.4 kJ per mole of atoms. The size of the total moment is 2.0 μB/cell. For the volume, the calculation gives 85.7 Å³/cell. For the uncorrected energy, the calculation gives -20.014 eV per atom.

Unit cell a=4.948 b=4.948 c=4.948 alpha=60.00 beta=60.00 gamma=60.00
Sites, in units of the cell vectors:
Te 0.000 0.000 0.000
Br 0.250 0.250 0.250
Br 0.750 0.750 0.750
N 0.500 0.500 0.500

# 2
Material: TlTe2BrN
Method: DFT, meta-GGA SCAN
State: PBEsol geometry

Calculated values
The value obtained for the formation energy from raw total energies is 109.3 kJ per mole of atoms. The size of the total moment is 0.0 μB/cell. For the volume, the calculation gives 135.9 Å³/cell. For the uncorrected energy, the calculation gives -33.990 eV per atom.

Unit cell a=6.148 b=6.148 c=3.596 alpha=90.00 beta=90.00 gamma=90.00
Sites, in units of the cell vectors:
Tl 0.000 0.000 0.000
Te 0.000 0.500 0.500
Te 0.500 0.000 0.500
Br 0.500 0.500 0.500
N 0.500 0.500 0.000